SrBeRh2 | PBE-GGA | optimized geometry

Cell and atoms, written as POSCAR:
```
SrBeRh2
1.0
3.054 0.000 0.000
0.000 3.054 0.000
0.000 0.000 7.044
Sr Be Rh
1 1 2
direct
0.000 0.000 0.000 Sr
0.000 0.000 0.500 Be
0.500 0.500 0.317 Rh
0.500 0.500 0.683 Rh
```

## Properties
The calculation puts the formation enthalpy at 0 K at -0.051 eV/atom. The value obtained for the total magnetization is 0.0 μB per cell. For the total DFT energy (no corrections), the calculation gives -0.18665 hartree per atom.

=====

La6SmHo2Mg | PBE-GGA | optimized geometry

Cell and atoms, written as POSCAR:
```
La6SmHo2Mg
1.0
5.317 -6.922 0.000
5.317 6.922 0.000
-1.485 0.000 9.334
La Sm Ho Mg
12 2 4 2
direct
0.044 0.466 0.671 La
0.060 0.821 0.900 La
0.179 0.940 0.600 La
0.245 0.580 0.083 La
0.420 0.755 0.417 La
0.466 0.044 0.171 La
0.534 0.956 0.829 La
0.580 0.245 0.583 La
0.755 0.420 0.917 La
0.821 0.060 0.400 La
0.940 0.179 0.100 La
0.956 0.534 0.329 La
0.430 0.570 0.750 Sm
0.570 0.430 0.250 Sm
0.235 0.302 0.405 Ho
0.302 0.235 0.905 Ho
0.698 0.765 0.095 Ho
0.765 0.698 0.595 Ho
0.096 0.904 0.250 Mg
0.904 0.096 0.750 Mg
```

## Properties
The calculation puts the formation enthalpy at 0 K at 0.092 eV/atom. The value obtained for the total magnetization is 0.0 μB per cell. For the total DFT energy (no corrections), the calculation gives -0.16213 hartree per atom.

=====

MnGeOsW | PBE-GGA | optimized geometry

Cell and atoms, written as POSCAR:
```
MnGeOsW
1.0
6.093 0.000 0.000
0.000 6.093 0.000
0.000 0.000 6.093
Mn Ge Os W
4 4 4 4
direct
0.000 0.000 0.000 Mn
0.000 0.500 0.500 Mn
0.500 0.000 0.500 Mn
0.500 0.500 0.000 Mn
0.000 0.000 0.500 Ge
0.000 0.500 0.000 Ge
0.500 0.000 0.000 Ge
0.500 0.500 0.500 Ge
0.250 0.250 0.750 Os
0.250 0.750 0.250 Os
0.750 0.250 0.250 Os
0.750 0.750 0.750 Os
0.250 0.250 0.250 W
0.250 0.750 0.750 W
0.750 0.250 0.750 W
0.750 0.750 0.250 W
```

## Properties
The calculation puts the formation enthalpy at 0 K at 0.130 eV/atom. The value obtained for the total magnetization is 8.9 μB per cell. For the total DFT energy (no corrections), the calculation gives -0.34405 hartree per atom.

=====

HgSbRh2 | PBE-GGA | optimized geometry

Cell and atoms, written as POSCAR:
```
HgSbRh2
1.0
7.234 0.000 0.000
0.000 7.234 0.000
0.000 0.000 5.930
Hg Sb Rh
4 4 8
direct
0.000 0.000 0.000 Hg
0.000 0.500 0.250 Hg
0.500 0.000 0.750 Hg
0.500 0.500 0.500 Hg
0.000 0.000 0.500 Sb
0.000 0.500 0.750 Sb
0.500 0.000 0.250 Sb
0.500 0.500 0.000 Sb
0.224 0.750 0.625 Rh
0.250 0.224 0.375 Rh
0.250 0.276 0.875 Rh
0.276 0.750 0.125 Rh
0.724 0.250 0.125 Rh
0.750 0.724 0.875 Rh
0.750 0.776 0.375 Rh
0.776 0.250 0.625 Rh
```

## Properties
The value obtained for the relative energy among the computed polymorphs is 0.241 eV per atom. The value obtained for the total magnetization is 0.0 μB per cell. For the total DFT energy (no corrections), the calculation gives -0.17125 hartree per atom.

=====

AlBi2MoW | PBE-GGA | optimized geometry

Cell and atoms, written as POSCAR:
```
AlBi2MoW
1.0
5.396 0.000 0.000
0.000 5.396 0.000
0.000 0.000 4.966
Al Bi Mo W
1 2 1 1
direct
0.000 0.000 0.000 Al
0.000 0.500 0.500 Bi
0.500 0.000 0.500 Bi
0.500 0.500 0.000 Mo
0.500 0.500 0.500 W
```

## Properties
The calculation puts the formation enthalpy at 0 K at 1.374 eV/atom. The value obtained for the total magnetization is 2.1 μB per cell. For the total DFT energy (no corrections), the calculation gives -0.20887 hartree per atom.